Ta2ZnNiRh: relaxed, GGA-PBEsol.

## Properties
* formation energy: 1.240 eV per atom
* DFT total energy: -34.8 eV/cell
* space group: P4/mmm (123)

Geometry as extended XYZ:
```
5
Lattice="4.5753 0.0000 0.0000 0.0000 4.5753 0.0000 0.0000 0.0000 4.1143" Properties=species:S:1:pos:R:3 pbc="T T T"
Ta 0.0000 2.2877 0.0000
Ta 2.2877 0.0000 0.0000
Zn 0.0000 0.0000 0.0000
Ni 0.0000 0.0000 2.0571
Rh 2.2877 2.2877 2.0571
```


TaCu2Mo: relaxed, GGA-PBEsol.

## Properties
* formation energy: 0.331 eV per atom
* DFT total energy: -95.0 eV/cell
* polymorph energy (0 for the lowest one): 185 meV per atom
* space group: R-3m (166)

Geometry as extended XYZ:
```
12
Lattice="2.6931 0.0000 0.0000 -1.3465 2.3323 0.0000 0.0000 0.0000 27.2836" Properties=species:S:1:pos:R:3 pbc="T T T"
Ta 0.0000 0.0000 0.0000
Ta 0.0000 1.5549 18.1891
Ta 1.3465 0.7774 9.0945
Cu 0.0000 0.0000 6.7840
Cu 0.0000 0.0000 20.4996
Cu 0.0000 1.5549 11.4051
Cu 0.0000 1.5549 24.9731
Cu 1.3465 0.7774 2.3105
Cu 1.3465 0.7774 15.8785
Mo 0.0000 0.0000 13.6418
Mo 0.0000 1.5549 4.5473
Mo 1.3465 0.7774 22.7363
```


ZnOs2Rh: relaxed, GGA-PBEsol.

## Properties
* formation energy: 0.333 eV per atom
* DFT total energy: -32.8 eV/cell
* space group: P4/mmm (123)

Geometry as extended XYZ:
```
4
Lattice="3.6534 0.0000 0.0000 0.0000 3.6534 0.0000 0.0000 0.0000 4.1358" Properties=species:S:1:pos:R:3 pbc="T T T"
Zn 0.0000 0.0000 0.0000
Os 0.0000 1.8267 2.0679
Os 1.8267 0.0000 2.0679
Rh 1.8267 1.8267 0.0000
```


LaLuTl2: relaxed, GGA-PBEsol.

## Properties
* formation energy: -0.402 eV per atom
* DFT total energy: -68.4 eV/cell
* space group: Fm-3m (225)

Geometry as extended XYZ:
```
16
Lattice="7.5894 0.0000 0.0000 0.0000 7.5894 0.0000 0.0000 0.0000 7.5894" Properties=species:S:1:pos:R:3 pbc="T T T"
La 0.0000 0.0000 0.0000
La 0.0000 3.7947 3.7947
La 3.7947 0.0000 3.7947
La 3.7947 3.7947 0.0000
Lu 0.0000 0.0000 3.7947
Lu 0.0000 3.7947 0.0000
Lu 3.7947 0.0000 0.0000
Lu 3.7947 3.7947 3.7947
Tl 1.8974 1.8974 1.8974
Tl 1.8974 1.8974 5.6921
Tl 1.8974 5.6921 1.8974
Tl 1.8974 5.6921 5.6921
Tl 5.6921 1.8974 1.8974
Tl 5.6921 1.8974 5.6921
Tl 5.6921 5.6921 1.8974
Tl 5.6921 5.6921 5.6921
```


ReOsPt2: relaxed, GGA-PBEsol.

## Properties
* formation energy: 0.073 eV per atom
* DFT total energy: -39.2 eV/cell
* polymorph energy (0 for the lowest one): 136 meV per atom
* space group: P2/m (10)

Geometry as extended XYZ:
```
4
Lattice="4.7257 0.0000 0.0000 0.0000 2.7371 0.0000 -1.5719 0.0000 4.4838" Properties=species:S:1:pos:R:3 pbc="T T T"
Re 0.0000 0.0000 0.0000
Os 2.3628 1.3686 0.0000
Pt -0.7859 1.3686 2.2419
Pt 1.5769 0.0000 2.2419
```


BaAlAs: relaxed, GGA-PBEsol.

## Properties
* formation energy: -0.620 eV per atom
* DFT total energy: -13.2 eV/cell
* space group: P3m1 (156)

Geometry as extended XYZ:
```
3
Lattice="4.2784 0.0000 0.0000 -2.1392 3.7052 0.0000 0.0000 0.0000 5.2838" Properties=species:S:1:pos:R:3 pbc="T T T"
Ba 0.0000 0.0000 0.0000
Al 0.0000 2.4701 3.0774
As 2.1392 1.2351 2.2799
```


AgHgPt2: relaxed, GGA-PBEsol.

## Properties
* formation energy: 0.016 eV per atom
* DFT total energy: -17.7 eV/cell
* space group: Pmmm (47)

Geometry as extended XYZ:
```
4
Lattice="2.8804 0.0000 0.0000 0.0000 3.9602 0.0000 0.0000 0.0000 5.7435" Properties=species:S:1:pos:R:3 pbc="T T T"
Ag 0.0000 0.0000 0.0000
Hg 0.0000 0.0000 2.8718
Pt 1.4402 1.9801 1.4033
Pt 1.4402 1.9801 4.3402
```


NbCo3O8: relaxed, GGA-PBEsol.

## Properties
* DFT total energy: -184.6 eV/cell
* space group: P6_3mc (186)

Geometry as extended XYZ:
```
24
Lattice="5.6079 0.0000 0.0000 -2.8040 4.8566 0.0000 0.0000 0.0000 9.0938" Properties=species:S:1:pos:R:3 pbc="T T T"
Nb 0.0000 3.2377 0.0000
Nb 2.8040 1.6189 4.5469
Co 0.0000 1.6362 2.5609
Co -1.3870 4.0385 2.5609
Co 1.4169 0.8181 7.1078
Co 1.3870 4.0385 2.5609
Co 4.1910 0.8181 7.1078
Co 2.8040 3.2205 7.1078
O 0.0000 0.0000 1.7228
O 0.0000 0.0000 6.2697
O -1.2609 2.5098 1.5339
O 0.0000 1.5710 8.1382
O -1.4435 4.0711 8.1382
O 1.3605 0.7855 3.5913
O 0.0000 3.2377 3.5046
O 1.2609 2.5098 1.5339
O 0.0000 4.6937 1.5339
O 2.8040 0.1629 6.0808
O 1.5431 2.3468 6.0808
O 2.8040 1.6189 8.0515
O 1.4435 4.0711 8.1382
O 4.2474 0.7855 3.5913
O 2.8040 3.2856 3.5913
O 4.0649 2.3468 6.0808
```